A geometry-optimized MgMnRh2 structure, computed with GGA-PBE.

Properties
The calculation puts the calculated volume at 61 Å³ per cell. As for the calculated total energy: -25.657 eV for the cell shown. For the spin magnetization, the calculation gives 5.16 μB per formula unit. Its formation energy is -0.047 eV/atom.

Cell: 4.4088 4.4088 4.4088 Å, 60.00 60.00 60.00°
Fractional positions:
Mn 0.7500 0.7500 0.7500
Mg 0.5000 0.5000 0.5000
Rh 0.0000 0.0000 0.0000
Rh 0.2500 0.2500 0.2500